Record 1
Computed, not measured: a relaxed LiGeH3 crystal at the PBE level of DFT.

a = 3.8342 Å, b = 3.8342 Å, c = 3.8342 Å
α = 90.00°, β = 90.00°, γ = 90.00°
With the nearest neighbours (Å) after each atom.
Element x y z (fractional)
1 H 0.0000 0.5000 0.0000  2 Ge 1.92
2 H 0.5000 0.0000 0.0000  2 Ge 1.92
3 H 0.0000 0.0000 0.5000  2 Ge 1.92
4 Ge 0.0000 0.0000 0.0000  6 H 1.92
5 Li 0.5000 0.5000 0.5000  12 H 2.71

Values from the calculation:
N(E_F) = 0.3 states/eV/f.u.
symmetry = Pm-3m, No. 221
total energy = -3.08 eV per atom


Record 2
Computed, not measured: a relaxed KLaS2O8 crystal at the PBE level of DFT.

a = 5.4699 Å, b = 5.4699 Å, c = 8.2907 Å
α = 90.00°, β = 90.00°, γ = 120.00°
With the nearest neighbours (Å) after each atom.
Element x y z (fractional)
1 S 0.6667 0.3333 0.2491  4 O 1.45-1.50
2 S 0.3333 0.6667 0.7509  4 O 1.45-1.50
3 O 0.2546 0.8743 0.6854  1 S 1.50
4 O 0.3333 0.6667 0.9264  1 S 1.45
5 O 0.6667 0.3333 0.0736  1 S 1.45
6 O 0.3803 0.2546 0.3146  1 S 1.50
7 O 0.8743 0.6197 0.3146  1 S 1.50
8 O 0.1257 0.3803 0.6854  1 S 1.50
9 O 0.6197 0.7454 0.6854  1 S 1.50
10 O 0.7454 0.1257 0.3146  1 S 1.50
11 K 0.0000 0.0000 0.0000  12 O 3.19-3.22
12 La 0.0000 0.0000 0.5000  6 O 2.39

Values from the calculation:
N(E_F) = 0.0 states/eV/f.u.
formation energy from raw total energies = -2078.1 meV/atom
symmetry = P-3, No. 147
total energy = -6.57 eV per atom


Record 3
Computed, not measured: a relaxed Pr5Tl2Ag crystal at the PBE level of DFT.

a = 7.2579 Å, b = 7.2578 Å, c = 6.8841 Å
α = 121.87°, β = 121.87°, γ = 89.95°
With the nearest neighbours (Å) after each atom.
Element x y z (fractional)
1 Pr 0.7221 0.7221 0.9442  2 Ag 3.44, 4 Tl 3.44, 6 Pr 3.44-3.63
2 Pr 0.2221 0.7221 0.9442  2 Ag 3.44, 6 Pr 3.44-3.63, 4 Tl 3.44
3 Pr 0.7220 0.7220 0.4440  8 Pr 3.44, 4 Tl 3.63
4 Pr 0.7221 0.2221 0.9442  2 Ag 3.44, 6 Pr 3.44-3.63, 4 Tl 3.44
5 Pr 0.2220 0.2220 0.9441  4 Tl 3.44, 6 Pr 3.44-3.63, 2 Ag 3.44
6 Tl 0.7221 0.2221 0.4441  10 Pr 3.44-3.63, 2 Ag 3.63
7 Tl 0.2221 0.7221 0.4441  10 Pr 3.44-3.63, 2 Ag 3.63
8 Ag 0.2225 0.2225 0.4450  8 Pr 3.44, 4 Tl 3.63

Values from the calculation:
N(E_F) = 10.9 states/eV/f.u.
symmetry = I4/mmm, No. 139
total energy = -4.14 eV per atom


Record 4
Computed, not measured: a relaxed FeHgAs2 crystal at the PBE level of DFT.

a = 5.8025 Å, b = 5.8025 Å, c = 6.9015 Å
α = 65.14°, β = 65.14°, γ = 90.00°
With the nearest neighbours (Å) after each atom.
Element x y z (fractional)
1 Hg 0.0000 0.0000 0.0000  4 As 2.79
2 Hg 0.7500 0.2500 0.5000  4 As 2.79
3 Fe 0.5000 0.5000 0.0000  4 As 2.23
4 Fe 0.2500 0.7500 0.5000  4 As 2.23
5 As 0.5417 0.1250 0.2500  2 Fe 2.23
6 As 0.2083 0.6250 0.2500  2 Fe 2.23
7 As 0.3750 0.4583 0.7500  2 Fe 2.23
8 As 0.8750 0.7917 0.7500  2 Fe 2.23

Values from the calculation:
N(E_F) = 2.5 states/eV/f.u.
symmetry = I-42d, No. 122
total energy = -4.29 eV per atom


Record 5
Computed, not measured: a relaxed HfRu3O crystal at the PBE level of DFT.

a = 4.8263 Å, b = 4.8263 Å, c = 4.8263 Å
α = 90.00°, β = 90.00°, γ = 90.00°
With the nearest neighbours (Å) after each atom.
Element x y z (fractional)
1 Hf 0.0000 0.0000 0.0000  6 Ru 2.41
2 Ru 0.0000 0.5000 0.0000  2 Hf 2.41
3 Ru 0.5000 0.0000 0.0000  2 Hf 2.41
4 Ru 0.0000 0.0000 0.5000  2 Hf 2.41
5 O 0.5000 0.5000 0.5000  12 Ru 3.41

Values from the calculation:
N(E_F) = 4.0 states/eV/f.u.
formation energy from raw total energies = 2138.3 meV/atom
symmetry = Pm-3m, No. 221
total energy = -6.41 eV per atom


Record 6
Computed, not measured: a relaxed Pr8Ga3SiCl4 crystal at the PBE level of DFT.

a = 8.6230 Å, b = 8.5173 Å, c = 8.6158 Å
α = 120.35°, β = 120.03°, γ = 90.00°
With the nearest neighbours (Å) after each atom.
Element x y z (fractional)
1 Ga 0.5000 0.5000 0.5000  6 Pr 2.99-3.00
2 Ga 0.5000 0.5000 0.0000  6 Pr 2.99-3.00
3 Ga 0.0000 0.5000 0.5000  6 Pr 2.99-3.00
4 Cl 0.5000 0.0000 0.5000  6 Pr 3.06-3.07
5 Cl 0.5000 0.0000 0.0000  6 Pr 3.11
6 Cl 0.0000 0.0000 0.0000  6 Pr 3.06-3.07
7 Cl 0.0000 0.0000 0.5000  6 Pr 3.06-3.07
8 Si 0.0000 0.5000 0.0000  6 Pr 2.95
9 Pr 0.2436 0.7367 0.9933  1 Si 2.95, 2 Ga 2.99, 3 Cl 3.07-3.11
10 Pr 0.7564 0.2634 0.5128  1 Si 2.95, 2 Ga 2.99, 3 Cl 3.07-3.11
11 Pr 0.7475 0.7421 0.4949  3 Ga 3.00, 3 Cl 3.06
12 Pr 0.2503 0.2633 0.0067  1 Si 2.95, 2 Ga 2.99, 3 Cl 3.07-3.11
13 Pr 0.7564 0.2633 0.0067  1 Si 2.95, 2 Ga 2.99, 3 Cl 3.07-3.11
14 Pr 0.2436 0.7366 0.4872  1 Si 2.95, 2 Ga 2.99, 3 Cl 3.07-3.11
15 Pr 0.7497 0.7367 0.9933  1 Si 2.95, 2 Ga 2.99, 3 Cl 3.07-3.11
16 Pr 0.2525 0.2579 0.5051  3 Ga 3.00, 3 Cl 3.06

Values from the calculation:
N(E_F) = 7.1 states/eV/f.u.
formation energy from raw total energies = -1055.4 meV/atom
symmetry = R-3m, No. 166
total energy = -4.81 eV per atom